VASP calculation (PBE-GGA) on a relaxed DyMg7TlCd2 crystal.

Properties
Its total magnetization is 0.00 μB per formula unit. The calculation puts the raw total energy at -1.7933 eV/atom.

Cell: 4.4149 4.4149 28.0987 Å, 90.00 90.00 90.00°
Space group I-4m2 (No. 119)
Unique sites:
1 Dy 0.0000 0.0000 0.0000 (multiplicity 2)
2 Mg 0.0000 0.0000 0.1660 (multiplicity 4)
3 Mg 0.0000 0.0000 0.3318 (multiplicity 4)
4 Mg 0.0000 0.5000 0.2500 (multiplicity 2)
5 Mg 0.0000 0.5000 0.5866 (multiplicity 4)
6 Tl 0.0000 0.5000 0.7500 (multiplicity 2)
7 Cd 0.0000 0.5000 0.0855 (multiplicity 4)


VASP calculation (PBE-GGA) on a relaxed Ac2HoCuS5 crystal.

Properties
For the uncorrected formation energy, the calculation gives -1.851 eV/atom. Its total magnetization is 0.00 μB per formula unit.

Cell: 4.0633 16.8551 12.3119 Å, 90.00 90.00 90.00°
Space group Cmc2_1 (No. 36)
Unique sites:
1 Ac 0.0000 0.1183 0.0000 (multiplicity 4)
2 Ac 0.0000 0.1186 0.6469 (multiplicity 4)
3 Ho 0.0000 0.1802 0.3279 (multiplicity 4)
4 Cu 0.0000 0.4468 0.7323 (multiplicity 4)
5 S 0.0000 0.0221 0.3190 (multiplicity 4)
6 S 0.0000 0.3031 0.9808 (multiplicity 4)
7 S 0.0000 0.3098 0.6741 (multiplicity 4)
8 S 0.0000 0.3429 0.3235 (multiplicity 4)
9 S 0.0000 0.4965 0.0618 (multiplicity 4)


VASP calculation (PBE-GGA) on a relaxed La6Pm2Dy5 crystal.

Properties
Its total magnetization is 0.00 μB per formula unit. The calculation puts the raw total energy at -4.6659 eV/atom.

Cell: 11.9648 20.8243 3.6637 Å, 90.00 90.00 90.00°
Space group Pbam (No. 55)
Unique sites:
1 La 0.0515 0.0786 0.0000 (multiplicity 4)
2 La 0.0766 0.3644 0.0000 (multiplicity 4)
3 La 0.1805 0.6279 0.5000 (multiplicity 4)
4 Pm 0.1658 0.7860 0.0000 (multiplicity 4)
5 Dy 0.0000 0.5000 0.5000 (multiplicity 2)
6 Dy 0.0937 0.2236 0.5000 (multiplicity 4)
7 Dy 0.2051 0.9432 0.5000 (multiplicity 4)


VASP calculation (PBE-GGA) on a relaxed NaBiSe2 crystal.

Properties
For the uncorrected formation energy, the calculation gives -0.637 eV/atom. Its total magnetization is 0.00 μB per formula unit.

Cell: 4.2704 4.2704 5.8108 Å, 90.00 90.00 90.00°
Space group P4/mmm (No. 123)
Unique sites:
1 Na 0.0000 0.0000 0.0000 (multiplicity 1)
2 Bi 0.5000 0.5000 0.5000 (multiplicity 1)
3 Se 0.0000 0.0000 0.5000 (multiplicity 1)
4 Se 0.5000 0.5000 0.0000 (multiplicity 1)


VASP calculation (PBE-GGA) on a relaxed UNb2Ga2Ru5 crystal.

Properties
Its total magnetization is 0.00 μB per formula unit. The calculation puts the raw total energy at -8.5855 eV/atom.

Cell: 9.3670 9.3670 3.6899 Å, 90.00 90.00 90.00°
Space group P4/mbm (No. 127)
Unique sites:
1 U 0.0000 0.0000 0.0000 (multiplicity 2)
2 Nb 0.1640 0.3360 0.0000 (multiplicity 4)
3 Ga 0.1326 0.6326 0.0000 (multiplicity 4)
4 Ru 0.0000 0.5000 0.5000 (multiplicity 2)
5 Ru 0.0583 0.7973 0.5000 (multiplicity 8)


VASP calculation (PBE-GGA) on a relaxed K2NiPb crystal.

Properties
Its total magnetization is 0.00 μB per formula unit. The calculation puts the raw total energy at -2.6939 eV/atom.

Cell: 5.0141 4.5972 7.4316 Å, 90.00 108.44 90.00°
Space group P2/m (No. 10)
Unique sites:
1 K 0.1422 0.0000 0.2818 (multiplicity 2)
2 Ni 0.0000 0.5000 0.0000 (multiplicity 1)
3 Pb 0.5000 0.5000 0.0000 (multiplicity 1)


VASP calculation (PBE-GGA) on a relaxed InTcBr2 crystal.

Properties
For the uncorrected formation energy, the calculation gives 0.554 eV/atom. Its total magnetization is 4.07 μB per formula unit. The calculation puts the energy above the lowest structure with this stoichiometry at 626 meV/atom.

Cell: 4.2585 4.2585 11.8490 Å, 90.00 90.00 90.00°
Space group I-4m2 (No. 119)
Unique sites:
1 In 0.0000 0.0000 0.0000 (multiplicity 2)
2 Tc 0.0000 0.5000 0.7500 (multiplicity 2)
3 Br 0.0000 0.0000 0.5000 (multiplicity 2)
4 Br 0.0000 0.5000 0.2500 (multiplicity 2)